Here is an optimized crystal structure of Dy6OsPb2 from the Alexandria database. Energies are from PBE.

a = 4.369 Å, b = 8.165 Å, c = 8.165 Å
α = 120.00°, β = 90.00°, γ = 90.00°
Fractional positions:
Dy  0.500  0.606  0.000
Dy  0.500  0.000  0.606
Dy  0.000  0.763  0.763
Dy  0.500  0.394  0.394
Dy  0.000  0.237  0.000
Dy  0.000  0.000  0.237
Os  0.500  0.000  0.000
Pb  0.000  0.667  0.333
Pb  0.000  0.333  0.667

Results
ΔE_f	-403	meV/atom
electronic total energy	-5.5433	eV per atom
DOS(E_F)	1.093	states/eV per atom



Here is an optimized crystal structure of Pm2HoTl from the Alexandria database. Energies are from PBE.

a = 6.220 Å, b = 8.067 Å, c = 9.895 Å
α = 90.00°, β = 90.00°, γ = 90.00°
Fractional positions:
Ho  0.750  0.592  0.750
Ho  0.250  0.408  0.250
Ho  0.250  0.908  0.750
Ho  0.750  0.092  0.250
Pm  0.750  0.925  0.559
Pm  0.250  0.575  0.941
Pm  0.750  0.925  0.941
Pm  0.250  0.075  0.059
Pm  0.750  0.425  0.059
Pm  0.250  0.575  0.559
Pm  0.750  0.425  0.441
Pm  0.250  0.075  0.441
Tl  0.000  0.750  0.250
Tl  0.500  0.750  0.250
Tl  0.000  0.250  0.750
Tl  0.500  0.250  0.750

Results
energy above the most stable polymorph in this dataset	104	meV/atom
ΔE_f	-88	meV/atom
electronic total energy	-4.1990	eV per atom
DOS(E_F)	1.251	states/eV per atom



Here is an optimized crystal structure of BeCu2 from the Alexandria database. Energies are from PBE.

a = 3.326 Å, b = 3.326 Å, c = 5.963 Å
α = 90.00°, β = 90.00°, γ = 90.00°
Fractional positions:
Cu  0.000  0.000  0.000
Cu  0.000  0.500  0.639
Cu  0.500  0.000  0.361
Cu  0.500  0.500  0.000
Be  0.000  0.500  0.269
Be  0.500  0.000  0.731

Results
ΔE_f	95	meV/atom
electronic total energy	-3.8783	eV per atom
DOS(E_F)	0.166	states/eV per atom



Here is an optimized crystal structure of LuHf2Sn from the Alexandria database. Energies are from PBE.

a = 4.561 Å, b = 4.483 Å, c = 4.483 Å
α = 90.00°, β = 90.00°, γ = 90.00°
Fractional positions:
Sn  0.500  0.000  0.000
Lu  0.500  0.500  0.500
Hf  0.000  0.500  0.000
Hf  0.000  0.000  0.500

Results
ΔE_f	-220	meV/atom
electronic total energy	-7.3281	eV per atom
DOS(E_F)	1.151	states/eV per atom



Here is an optimized crystal structure of LiHSe3 from the Alexandria database. Energies are from PBE.

a = 4.405 Å, b = 4.405 Å, c = 4.405 Å
α = 90.00°, β = 90.00°, γ = 90.00°
Fractional positions:
Se  0.500  0.000  0.000
Se  0.000  0.000  0.500
Se  0.000  0.500  0.000
H  0.000  0.000  0.000
Li  0.500  0.500  0.500

Results
energy above the most stable polymorph in this dataset	0	meV/atom
electronic total energy	-2.8427	eV per atom
DOS(E_F)	0.604	states/eV per atom



Here is an optimized crystal structure of BaSiAs2Se from the Alexandria database. Energies are from PBE.

a = 4.942 Å, b = 4.942 Å, c = 5.206 Å
α = 90.00°, β = 90.00°, γ = 90.00°
Fractional positions:
Ba  0.500  0.500  0.500
Se  0.000  0.000  0.500
As  0.500  0.000  0.000
As  0.000  0.500  0.000
Si  0.000  0.000  0.000

Results
energy above the most stable polymorph in this dataset	0	meV/atom
electronic total energy	-4.3491	eV per atom
DOS(E_F)	0.901	states/eV per atom
raw formation energy	-0.32	eV per atom



Here is an optimized crystal structure of Na4Tm3VSe8 from the Alexandria database. Energies are from PBE.

a = 8.026 Å, b = 8.398 Å, c = 8.027 Å
α = 118.56°, β = 120.00°, γ = 90.00°
Last column: magnetic moment on the atom in μB.
Fractional positions:
Na  0.000  0.000  0.500  0.00
Na  0.000  0.000  0.000  0.00
Na  0.500  0.000  0.000  0.00
Na  0.500  0.000  0.500  0.00
Se  0.757  0.719  0.988  -0.03
Se  0.243  0.281  0.012  -0.03
Se  0.769  0.281  0.012  -0.03
Se  0.231  0.719  0.462  -0.03
Se  0.257  0.270  0.513  -0.01
Se  0.743  0.730  0.487  -0.01
Se  0.769  0.281  0.538  -0.03
Se  0.231  0.719  0.988  -0.03
V  0.000  0.500  0.000  1.95
Tm  0.000  0.500  0.500  0.01
Tm  0.500  0.500  0.000  0.01
Tm  0.500  0.500  0.500  0.01

Results
electronic total energy	-4.9404	eV per atom
DOS(E_F)	0.526	states/eV per atom
raw formation energy	-1.46	eV per atom



Here is an optimized crystal structure of TmPaTc2 from the Alexandria database. Energies are from PBE.

a = 3.343 Å, b = 3.343 Å, c = 9.423 Å
α = 79.78°, β = 79.78°, γ = 60.00°
Fractional positions:
Tc  0.899  0.899  0.304
Tc  0.101  0.101  0.696
Pa  0.500  0.500  0.500
Tm  0.000  0.000  0.000

Results
energy above the most stable polymorph in this dataset	662	meV/atom
ΔE_f	406	meV/atom
electronic total energy	-8.2691	eV per atom
DOS(E_F)	1.058	states/eV per atom



Here is an optimized crystal structure of Na3Ho2HfSe6 from the Alexandria database. Energies are from PBE.

a = 6.958 Å, b = 6.958 Å, c = 7.431 Å
α = 99.01°, β = 99.01°, γ = 120.01°
Fractional positions:
Hf  0.000  0.000  0.000
Na  0.830  0.170  0.500
Na  0.500  0.500  0.500
Na  0.170  0.830  0.500
Se  0.395  0.076  0.227
Se  0.605  0.924  0.773
Se  0.243  0.243  0.773
Se  0.076  0.395  0.227
Se  0.924  0.605  0.773
Se  0.757  0.757  0.227
Ho  0.334  0.666  0.000
Ho  0.666  0.334  0.000

Results
electronic total energy	-5.1952	eV per atom
DOS(E_F)	0.330	states/eV per atom
raw formation energy	-1.53	eV per atom



Here is an optimized crystal structure of CePuReN4 from the Alexandria database. Energies are from PBE.

a = 5.495 Å, b = 5.492 Å, c = 6.699 Å
α = 90.00°, β = 114.21°, γ = 90.00°
Last column: magnetic moment on the atom in μB.
Fractional positions:
N  0.000  0.000  0.500  -0.03
N  0.924  0.250  0.849  -0.07
N  0.574  0.250  0.148  -0.17
N  0.000  0.500  0.500  -0.03
N  0.076  0.750  0.151  -0.07
N  0.500  0.000  0.500  -0.03
N  0.500  0.500  0.500  -0.03
N  0.426  0.750  0.852  -0.17
Ce  0.105  0.250  0.209  0.27
Ce  0.895  0.750  0.791  0.27
Re  0.252  0.750  0.504  -0.04
Re  0.748  0.250  0.496  -0.04
Pu  0.603  0.750  0.207  4.68
Pu  0.397  0.250  0.793  4.68

Results
electronic total energy	-10.3322	eV per atom
DOS(E_F)	1.552	states/eV per atom
raw formation energy	-0.90	eV per atom